1) 5
Lattice="-2.212 -6.473 -0.712 0.624 -0.959 6.782 -5.432 1.773 0.751" Properties=species:S:1:pos:R:3 comment="CsK2TlGa | the Alexandria database | GGA-PBE | optimized geometry" n_ef_per_ev_atom=0.8892 vol_a3_per_cell=273 magmom_total_mub_per_atom=0.00 pbc="T T T"
Ga -2.716 0.887 0.375
K -1.106 -3.237 -0.356
Tl 0.000 0.000 0.000
Cs -3.510 -2.830 3.410
K 0.312 -0.480 3.391


2) 5
Lattice="-5.617 1.519 -3.611 -3.670 -4.249 3.922 -1.078 4.053 3.382" Properties=species:S:1:pos:R:3 comment="CsK2TlGa | the Alexandria database | GGA-PBE | optimized geometry" n_ef_per_ev_atom=0.9513 vol_a3_per_cell=253 magmom_total_mub_per_atom=0.03 pbc="T T T"
Cs -5.183 0.661 1.846
K -2.809 0.759 -1.806
Ga 0.000 0.000 0.000
Tl -0.539 2.026 1.691
K -1.835 -2.124 1.961


Energy above the most stable structure, in kJ/mol of atoms: 1) 1.9; 2) 0.0